1.
VASP calculation (PBE) on an optimized crystal structure of PmAg2C2O6.

E_form (uncorrected): -1.425 eV per atom

abc: 5.0013 5.0013 7.9093
angles: 90.00 90.00 120.00
With the nearest neighbours (Å) after each atom.
Space group P-3 (No. 147)
Unique sites:
Pm 0.0000 0.0000 0.0000 (multiplicity 1)  6 O 2.37
Ag 0.3333 0.6667 0.4040 (multiplicity 2)  3 O 2.57
C 0.3333 0.6667 0.8204 (multiplicity 2)  3 O 1.30
O 0.0706 0.4105 0.8213 (multiplicity 6)  1 C 1.30

***

2.
VASP calculation (PBE) on an optimized crystal structure of Cs4Er3PaTe8.

E_form (uncorrected): -1.238 eV per atom

abc: 9.0401 9.0401 26.8942
angles: 90.00 90.00 120.00
With the nearest neighbours (Å) after each atom.
Space group R-3m (No. 166, hexagonal axes)
Unique sites:
Cs 0.0000 0.0000 0.0000 (multiplicity 3)  6 Te 3.79
Cs 0.0000 0.5000 0.0000 (multiplicity 9)  6 Te 3.82-3.83
Er 0.0000 0.5000 0.5000 (multiplicity 9)  6 Te 3.11
Pa 0.0000 0.0000 0.5000 (multiplicity 3)  6 Te 3.15
Te 0.0000 0.0000 0.2293 (multiplicity 6)  3 Er 3.11
Te 0.0036 0.5018 0.7697 (multiplicity 18)  2 Er 3.11, 1 Pa 3.15

***

3.
VASP calculation (PBE) on an optimized crystal structure of HfZr2AlPt.

DFT formation energy: 1065 meV per atom

abc: 4.9889 4.9889 4.9812
angles: 90.00 90.00 90.00
With the nearest neighbours (Å) after each atom.
Space group P4/mmm (No. 123)
Unique sites:
Hf 0.0000 0.0000 0.0000 (multiplicity 1)  2 Al 2.49, 4 Zr 2.49
Zr 0.0000 0.5000 0.0000 (multiplicity 2)  2 Hf 2.49
Al 0.0000 0.0000 0.5000 (multiplicity 1)  2 Hf 2.49
Pt 0.5000 0.5000 0.5000 (multiplicity 1)  8 Zr 3.52, 4 Al 3.53

***

4.
VASP calculation (PBE) on an optimized crystal structure of Zn2GeMo.

DFT formation energy: 362 meV per atom

abc: 7.1885 7.1885 5.0751
angles: 90.00 90.00 90.00
With the nearest neighbours (Å) after each atom.
Space group I-42d (No. 122)
Unique sites:
Zn 0.2395 0.2500 0.1250 (multiplicity 8)  2 Zn 2.54, 2 Ge 2.57, 2 Mo 2.67
Ge 0.0000 0.0000 0.0000 (multiplicity 4)  2 Mo 2.54, 4 Zn 2.57
Mo 0.0000 0.0000 0.5000 (multiplicity 4)  2 Ge 2.54, 4 Zn 2.67

***

5.
VASP calculation (PBE) on an optimized crystal structure of NaHoSO.

E_form (uncorrected): -2.248 eV per atom

abc: 3.6703 3.6703 18.6956
angles: 90.00 90.00 120.00
With the nearest neighbours (Å) after each atom.
Space group R3m (No. 160, hexagonal axes)
Unique sites:
Na 0.0000 0.0000 0.0000 (multiplicity 3)  3 S 2.73, 3 O 2.82
Ho 0.0000 0.0000 0.4841 (multiplicity 3)  3 O 2.32
S 0.0000 0.0000 0.2415 (multiplicity 3)  3 Ho 2.71, 3 Na 2.73
O 0.0000 0.0000 0.7663 (multiplicity 3)  3 Ho 2.32

***

6.
VASP calculation (PBE) on an optimized crystal structure of CsBaNbSe4.

E_form (uncorrected): -1.333 eV per atom

abc: 7.5282 7.3731 10.0809
angles: 90.00 107.45 90.00
With the nearest neighbours (Å) after each atom.
Space group P2_1/m (No. 11)
Unique sites:
Cs 0.2160 0.2500 0.4307 (multiplicity 2)  8 Se 3.81-3.92
Ba 0.2663 0.2500 0.9534 (multiplicity 2)  6 Se 3.33-3.47
Nb 0.2981 0.7500 0.1864 (multiplicity 2)  4 Se 2.42
Se 0.0969 0.7500 0.3337 (multiplicity 2)  1 Nb 2.42
Se 0.1192 0.7500 0.9433 (multiplicity 2)  1 Nb 2.42
Se 0.4948 0.5088 0.7680 (multiplicity 4)  1 Nb 2.42

***

7.
VASP calculation (PBE) on an optimized crystal structure of Tl3SnBi.

DFT formation energy: 408 meV per atom
energy above the lowest structure with this stoichiometry: 382 meV/atom

abc: 5.7577 5.7577 5.7577
angles: 90.00 90.00 90.00
With the nearest neighbours (Å) after each atom.
Space group Pm-3m (No. 221)
Unique sites:
Tl 0.0000 0.0000 0.5000 (multiplicity 3)  2 Sn 2.88
Sn 0.0000 0.0000 0.0000 (multiplicity 1)  6 Tl 2.88
Bi 0.5000 0.5000 0.5000 (multiplicity 1)  12 Tl 4.07

***

8.
VASP calculation (PBE) on an optimized crystal structure of NaTlSnBi.

DFT formation energy: -136 meV per atom
energy above the lowest structure with this stoichiometry: 0 meV/atom

abc: 4.7220 4.8118 5.1185
angles: 90.00 90.00 90.00
With the nearest neighbours (Å) after each atom.
Space group Pmmm (No. 47)
Unique sites:
Na 0.0000 0.0000 0.0000 (multiplicity 1)  4 Tl 3.37, 4 Bi 3.48, 4 Sn 3.51
Tl 0.5000 0.5000 0.0000 (multiplicity 1)  4 Na 3.37, 4 Sn 3.48, 4 Bi 3.51
Sn 0.0000 0.5000 0.5000 (multiplicity 1)  4 Bi 3.37, 4 Tl 3.48, 4 Na 3.51
Bi 0.5000 0.0000 0.5000 (multiplicity 1)  4 Sn 3.37, 4 Na 3.48, 4 Tl 3.51